Computed, not measured: Te3Cl after structural relaxation at the PBE-GGA level of DFT.

Summary:
DOS(E_F) (states/eV per atom): 0.6673
Total moment (μB per formula unit): 0.0
Calculated volume (Å³ per cell): 120.6
Formation energy without anion corrections (eV per atom): 0.14

Cell and atoms, written as CIF:
```
data_Te3Cl
_chemical_formula_sum 'Te3 Cl1'
_cell_length_a 4.087
_cell_length_b 4.087
_cell_length_c 7.218
_cell_angle_alpha 90.00
_cell_angle_beta 90.00
_cell_angle_gamma 90.00
_symmetry_space_group_name_H-M 'P 4/m m m'
_symmetry_Int_Tables_number 123
_symmetry_space_group_name_Hall '-P 4 2'
loop_
_atom_site_label
_atom_site_type_symbol
_atom_site_fract_x
_atom_site_fract_y
_atom_site_fract_z
Te1 Te 0.000 0.000 0.000
Te2 Te 0.500 0.500 0.195
Cl1 Cl 0.000 0.000 0.500
```



Computed, not measured: LaN after structural relaxation at the PBE-GGA level of DFT.

Summary:
DOS(E_F) (states/eV per atom): 0.0792
Total moment (μB per formula unit): 0.0
Calculated volume (Å³ per cell): 325.6
Formation energy without anion corrections (eV per atom): -1.20

Cell and atoms, written as CIF:
```
data_LaN
_chemical_formula_sum 'La6 N6'
_cell_length_a 9.5148
_cell_length_b 9.5148
_cell_length_c 4.1534
_cell_angle_alpha 90.00
_cell_angle_beta 90.00
_cell_angle_gamma 120.00
_symmetry_space_group_name_H-M 'P 63/m'
_symmetry_Int_Tables_number 176
_symmetry_space_group_name_Hall '-P 6c'
loop_
_atom_site_label
_atom_site_type_symbol
_atom_site_fract_x
_atom_site_fract_y
_atom_site_fract_z
La1 La 0.0814 0.6757 0.2500
N1 N 0.0716 0.4215 0.2500
```



Computed, not measured: SrFe2GeOs after structural relaxation at the PBE-GGA level of DFT.

Summary:
DOS(E_F) (states/eV per atom): 1.8273
Total moment (μB per formula unit): 4.8
Formation energy (eV/atom): 1.163
Calculated volume (Å³ per cell): 122.5

Cell and atoms, written as CIF:
```
data_SrFe2GeOs
_chemical_formula_sum 'Sr1 Fe2 Ge1 Os1'
_cell_length_a 4.632
_cell_length_b 4.632
_cell_length_c 5.707
_cell_angle_alpha 90.00
_cell_angle_beta 90.00
_cell_angle_gamma 90.00
_symmetry_space_group_name_H-M 'P 4/m m m'
_symmetry_Int_Tables_number 123
_symmetry_space_group_name_Hall '-P 4 2'
loop_
_atom_site_label
_atom_site_type_symbol
_atom_site_fract_x
_atom_site_fract_y
_atom_site_fract_z
Sr1 Sr 0.000 0.000 0.000
Fe1 Fe 0.000 0.500 0.500
Ge1 Ge 0.500 0.500 0.000
Os1 Os 0.000 0.000 0.500
```



Computed, not measured: GaTe4Pb2 after structural relaxation at the PBE-GGA level of DFT.

Summary:
DOS(E_F) (states/eV per atom): 0.7548
Total moment (μB per formula unit): 0.0
Calculated volume (Å³ per cell): 474.5
Formation energy without anion corrections (eV per atom): 0.00

Cell and atoms, written as CIF:
```
data_GaTe4Pb2
_chemical_formula_sum 'Ga2 Te8 Pb4'
_cell_length_a 5.461
_cell_length_b 5.461
_cell_length_c 15.910
_cell_angle_alpha 90.00
_cell_angle_beta 90.00
_cell_angle_gamma 90.00
_symmetry_space_group_name_H-M 'I 4/m m m'
_symmetry_Int_Tables_number 139
_symmetry_space_group_name_Hall '-I 4 2'
loop_
_atom_site_label
_atom_site_type_symbol
_atom_site_fract_x
_atom_site_fract_y
_atom_site_fract_z
Ga1 Ga 0.000 0.000 0.000
Te1 Te 0.000 0.000 0.178
Te2 Te 0.000 0.500 0.000
Pb1 Pb 0.000 0.000 0.372
```



Computed, not measured: CaPaGeO5 after structural relaxation at the PBE-GGA level of DFT.

Summary:
DOS(E_F) (states/eV per atom): 0.4961
Total moment (μB per formula unit): 0.9
Calculated volume (Å³ per cell): 497.8
Formation energy without anion corrections (eV per atom): -2.69

Cell and atoms, written as CIF:
```
data_CaPaGeO5
_chemical_formula_sum 'Ca4 Pa4 Ge4 O20'
_cell_length_a 7.086
_cell_length_b 9.529
_cell_length_c 7.933
_cell_angle_alpha 90.00
_cell_angle_beta 111.65
_cell_angle_gamma 90.00
_symmetry_space_group_name_H-M 'C 1 2/c 1'
_symmetry_Int_Tables_number 15
_symmetry_space_group_name_Hall '-C 2yc'
loop_
_atom_site_label
_atom_site_type_symbol
_atom_site_fract_x
_atom_site_fract_y
_atom_site_fract_z
Ca1 Ca 0.000 0.162 0.250
Pa1 Pa 0.000 0.500 0.000
Ge1 Ge 0.000 0.177 0.750
O1 O 0.000 0.402 0.250
O2 O 0.124 0.289 0.641
O3 O 0.164 0.056 0.910
```



Computed, not measured: BaReW2 after structural relaxation at the PBE-GGA level of DFT.

Summary:
DOS(E_F) (states/eV per atom): 1.1472
Total moment (μB per formula unit): 0.0
Formation energy (eV/atom): 1.327
Calculated volume (Å³ per cell): 171.1

Cell and atoms, written as CIF:
```
data_BaReW2
_chemical_formula_sum 'Ba2 Re2 W4'
_cell_length_a 2.978
_cell_length_b 5.497
_cell_length_c 10.453
_cell_angle_alpha 90.00
_cell_angle_beta 90.00
_cell_angle_gamma 90.00
_symmetry_space_group_name_H-M 'I m m m'
_symmetry_Int_Tables_number 71
_symmetry_space_group_name_Hall '-I 2 2'
loop_
_atom_site_label
_atom_site_type_symbol
_atom_site_fract_x
_atom_site_fract_y
_atom_site_fract_z
Ba1 Ba 0.000 0.000 0.000
Re1 Re 0.000 0.000 0.500
W1 W 0.000 0.500 0.205
```



Computed, not measured: KBaMgHg after structural relaxation at the PBE-GGA level of DFT.

Summary:
DOS(E_F) (states/eV per atom): 0.8884
Total moment (μB per formula unit): 0.0
Formation energy (eV/atom): -0.089
Calculated volume (Å³ per cell): 617.7

Cell and atoms, written as CIF:
```
data_KBaMgHg
_chemical_formula_sum 'K4 Ba4 Mg4 Hg4'
_cell_length_a 8.516
_cell_length_b 8.516
_cell_length_c 8.516
_cell_angle_alpha 90.00
_cell_angle_beta 90.00
_cell_angle_gamma 90.00
_symmetry_space_group_name_H-M 'F -4 3 m'
_symmetry_Int_Tables_number 216
_symmetry_space_group_name_Hall 'F -4 2 3'
loop_
_atom_site_label
_atom_site_type_symbol
_atom_site_fract_x
_atom_site_fract_y
_atom_site_fract_z
K1 K 0.000 0.000 0.000
Ba1 Ba 0.000 0.000 0.500
Mg1 Mg 0.250 0.250 0.750
Hg1 Hg 0.250 0.250 0.250
```



Computed, not measured: KZrRe after structural relaxation at the PBE-GGA level of DFT.

Summary:
DOS(E_F) (states/eV per atom): 1.5170
Total moment (μB per formula unit): 1.2
Formation energy (eV/atom): 2.670
Calculated volume (Å³ per cell): 302.8

Cell and atoms, written as CIF:
```
data_KZrRe
_chemical_formula_sum 'K4 Zr4 Re4'
_cell_length_a 6.715
_cell_length_b 6.715
_cell_length_c 6.715
_cell_angle_alpha 90.00
_cell_angle_beta 90.00
_cell_angle_gamma 90.00
_symmetry_space_group_name_H-M 'F -4 3 m'
_symmetry_Int_Tables_number 216
_symmetry_space_group_name_Hall 'F -4 2 3'
loop_
_atom_site_label
_atom_site_type_symbol
_atom_site_fract_x
_atom_site_fract_y
_atom_site_fract_z
K1 K 0.000 0.000 0.000
Zr1 Zr 0.250 0.250 0.750
Re1 Re 0.250 0.250 0.250
```



Computed, not measured: LiLa3Mo after structural relaxation at the PBE-GGA level of DFT.

Summary:
DOS(E_F) (states/eV per atom): 1.1984
Total moment (μB per formula unit): 0.0
Formation energy (eV/atom): 0.279
Calculated volume (Å³ per cell): 174.8

Cell and atoms, written as CIF:
```
data_LiLa3Mo
_chemical_formula_sum 'Li1 La3 Mo1'
_cell_length_a 5.591
_cell_length_b 5.591
_cell_length_c 5.591
_cell_angle_alpha 90.00
_cell_angle_beta 90.00
_cell_angle_gamma 90.00
_symmetry_space_group_name_H-M 'P m -3 m'
_symmetry_Int_Tables_number 221
_symmetry_space_group_name_Hall '-P 4 2 3'
loop_
_atom_site_label
_atom_site_type_symbol
_atom_site_fract_x
_atom_site_fract_y
_atom_site_fract_z
Li1 Li 0.000 0.000 0.000
La1 La 0.000 0.500 0.500
Mo1 Mo 0.500 0.500 0.500
```



Computed, not measured: ZrBP after structural relaxation at the PBE-GGA level of DFT.

Summary:
DOS(E_F) (states/eV per atom): 0.3194
Total moment (μB per formula unit): 0.0
Formation energy (eV/atom): -0.555
Calculated volume (Å³ per cell): 189.5

Cell and atoms, written as CIF:
```
data_ZrBP
_chemical_formula_sum 'Zr4 B4 P4'
_cell_length_a 4.872
_cell_length_b 5.122
_cell_length_c 7.694
_cell_angle_alpha 90.00
_cell_angle_beta 99.32
_cell_angle_gamma 90.00
_symmetry_space_group_name_H-M 'C 1 2/m 1'
_symmetry_Int_Tables_number 12
_symmetry_space_group_name_Hall '-C 2y'
loop_
_atom_site_label
_atom_site_type_symbol
_atom_site_fract_x
_atom_site_fract_y
_atom_site_fract_z
Zr1 Zr 0.171 0.000 0.192
B1 B 0.144 0.500 0.076
P1 P 0.206 0.500 0.331
```



Computed, not measured: Li4SmPt2 after structural relaxation at the PBE-GGA level of DFT.

Summary:
DOS(E_F) (states/eV per atom): 0.3204
Total moment (μB per formula unit): 0.0
Formation energy (eV/atom): -0.598
Calculated volume (Å³ per cell): 242.7

Cell and atoms, written as CIF:
```
data_Li4SmPt2
_chemical_formula_sum 'Li8 Sm2 Pt4'
_cell_length_a 7.651
_cell_length_b 7.651
_cell_length_c 4.147
_cell_angle_alpha 90.00
_cell_angle_beta 90.00
_cell_angle_gamma 90.00
_symmetry_space_group_name_H-M 'P 42/m n m'
_symmetry_Int_Tables_number 136
_symmetry_space_group_name_Hall '-P 4n 2n'
loop_
_atom_site_label
_atom_site_type_symbol
_atom_site_fract_x
_atom_site_fract_y
_atom_site_fract_z
Li1 Li 0.098 0.347 0.000
Sm1 Sm 0.000 0.000 0.500
Pt1 Pt 0.207 0.793 0.000
```



Computed, not measured: HoThP2Rh5 after structural relaxation at the PBE-GGA level of DFT.

Summary:
DOS(E_F) (states/eV per atom): 0.2145
Total moment (μB per formula unit): 0.0
Formation energy (eV/atom): -0.800
Calculated volume (Å³ per cell): 175.7

Cell and atoms, written as CIF:
```
data_HoThP2Rh5
_chemical_formula_sum 'Ho1 Th1 P2 Rh5'
_cell_length_a 4.078
_cell_length_b 4.078
_cell_length_c 10.565
_cell_angle_alpha 90.00
_cell_angle_beta 90.00
_cell_angle_gamma 90.00
_symmetry_space_group_name_H-M 'P 4/m m m'
_symmetry_Int_Tables_number 123
_symmetry_space_group_name_Hall '-P 4 2'
loop_
_atom_site_label
_atom_site_type_symbol
_atom_site_fract_x
_atom_site_fract_y
_atom_site_fract_z
Ho1 Ho 0.000 0.000 0.000
Th1 Th 0.000 0.000 0.500
P1 P 0.500 0.500 0.284
Rh1 Rh 0.000 0.500 0.196
Rh2 Rh 0.500 0.500 0.500
```



Q: What is the calculated volume in the tenth record?
A: 189.5 Å³ per cell



Q: Which formula does entry 8 have?
A: KZrRe



Q: Which of these has the lowest calculated volume?
A: Te3Cl



Q: Among the records above, which one has the highest DOS(E_F)?
A: SrFe2GeOs